First-principles (GGA-PBE) data for Ge2SbPb after structural relaxation, as listed in Alexandria.

Cell lengths 5.163, 5.163, 5.163 Å; angles 60.00, 60.00, 60.00 degrees
Fractional coordinates of all 4 atoms:
Sb1 0.000 0.000 0.000
Pb1 0.500 0.500 0.500
Ge1 0.750 0.750 0.750
Ge2 0.250 0.250 0.250

Values from the calculation:
The raw total energy is -15.9 eV per formula unit. Its energy above the most stable polymorph in this dataset is 0.109 eV per formula unit. Its formation energy from raw total energies is 0.28 eV per atom.